# 1
The following is a GGA-PBE calculation of crystalline PuPtO3 at its relaxed geometry, from Alexandria via LeMat-Bulk.

abc: 4.0617 4.0617 4.0617
angles: 90.00 90.00 90.00
Space group Pm-3m (No. 221)
Symmetry-distinct sites (fractional):
Pu 0.0000 0.0000 0.0000 x1
Pt 0.5000 0.5000 0.5000 x1
O 0.0000 0.5000 0.5000 x3

total DFT energy (no corrections)	-41.2	eV for the cell shown

---

# 2
The following is a GGA-PBE calculation of crystalline CsRb2NaSn at its relaxed geometry, from Alexandria via LeMat-Bulk.

abc: 7.2737 7.2737 6.2732
angles: 90.00 90.00 90.00
Space group P4/mmm (No. 123)
Symmetry-distinct sites (fractional):
Cs 0.0000 0.0000 0.0000 x1
Rb 0.0000 0.5000 0.5000 x2
Na 0.5000 0.5000 0.0000 x1
Sn 0.5000 0.5000 0.5000 x1

total DFT energy (no corrections)	-8.1	eV for the cell shown
formation energy from the elements	10	meV/atom

---

# 3
The following is a GGA-PBE calculation of crystalline La2Pr3Er4 at its relaxed geometry, from Alexandria via LeMat-Bulk.

abc: 6.2681 6.3048 8.1174
angles: 82.58 75.14 80.32
Space group P-1 (No. 2)
Symmetry-distinct sites (fractional):
La 0.1686 0.3324 0.3330 x2
Pr 0.0588 0.1114 0.7773 x2
Pr 0.5000 0.0000 0.0000 x1
Er 0.2776 0.5522 0.8880 x2
Er 0.3910 0.7727 0.4467 x2

energy relative to the lowest polymorph listed for this composition	0	meV per atom
total DFT energy (no corrections)	-42.2	eV for the cell shown
formation energy from the elements	26	meV/atom

---

# 4
The following is a GGA-PBE calculation of crystalline Hf4Bi2Sb at its relaxed geometry, from Alexandria via LeMat-Bulk.

abc: 7.5231 7.5254 7.7497
angles: 115.30 115.14 90.79
Space group P1 (No. 1)
Symmetry-distinct sites (fractional):
Hf 0.0000 0.0000 0.0000 x1
Hf 0.0116 0.6206 0.1299 x1
Hf 0.0710 0.0786 0.4593 x1
Hf 0.2733 0.4343 0.4870 x1
Hf 0.4543 0.0634 0.3325 x1
Hf 0.5422 0.3411 0.8397 x1
Hf 0.6425 0.8035 0.9731 x1
Hf 0.7358 0.5310 0.6208 x1
Bi 0.2139 0.6716 0.8791 x1
Bi 0.3341 0.3373 0.1075 x1
Bi 0.3987 0.8642 0.5827 x1
Bi 0.7362 0.7427 0.3534 x1
Sb 0.8083 0.2701 0.2287 x1
Sb 0.8611 0.2133 0.7312 x1

energy relative to the lowest polymorph listed for this composition	0	meV per atom
total DFT energy (no corrections)	-105.7	eV for the cell shown

---

# 5
The following is a GGA-PBE calculation of crystalline Ba2Be2P2O at its relaxed geometry, from Alexandria via LeMat-Bulk.

abc: 11.0732 3.9870 7.4253
angles: 90.00 123.76 90.00
Space group C2/m (No. 12)
Symmetry-distinct sites (fractional):
Ba 0.0446 0.0000 0.3024 x4
Be 0.1661 0.5000 0.0668 x4
P 0.2099 0.5000 0.7806 x4
O 0.0000 0.5000 0.0000 x2

total DFT energy (no corrections)	-72.3	eV for the cell shown

---

# 6
The following is a GGA-PBE calculation of crystalline Rb3ZrCr2Se6 at its relaxed geometry, from Alexandria via LeMat-Bulk.

abc: 6.8867 11.9226 8.1649
angles: 90.00 106.33 90.00
Space group C2/m (No. 12)
Symmetry-distinct sites (fractional):
Rb 0.0000 0.0000 0.0000 x2
Rb 0.0000 0.3354 0.0000 x4
Zr 0.0000 0.5000 0.5000 x2
Cr 0.0000 0.1668 0.5000 x4
Se 0.2168 0.0000 0.6777 x4
Se 0.2307 0.3288 0.6786 x8

total DFT energy (no corrections)	-125.8	eV for the cell shown

---

# 7
The following is a GGA-PBE calculation of crystalline GaAsO2 at its relaxed geometry, from Alexandria via LeMat-Bulk.

abc: 5.1942 5.1942 8.5770
angles: 90.00 90.00 90.00
Space group I-42d (No. 122)
Symmetry-distinct sites (fractional):
Ga 0.0000 0.0000 0.0000 x4
As 0.0000 0.0000 0.5000 x4
O 0.1571 0.2500 0.1250 x8

energy relative to the lowest polymorph listed for this composition	491	meV per atom
total DFT energy (no corrections)	-82.7	eV for the cell shown

---

# 8
The following is a GGA-PBE calculation of crystalline BClO at its relaxed geometry, from Alexandria via LeMat-Bulk.

abc: 2.3827 6.4639 7.5233
angles: 91.31 91.37 99.00
Space group P-1 (No. 2)
Symmetry-distinct sites (fractional):
B 0.0451 0.1166 0.4422 x2
Cl 0.1308 0.2509 0.8372 x2
O 0.4200 0.7932 0.6031 x2

energy relative to the lowest polymorph listed for this composition	189	meV per atom
total DFT energy (no corrections)	-33.9	eV for the cell shown

---

> Which value of total DFT energy (no corrections) does entry 2 give?

-8.1 eV for the cell shown

---

> Number 4 is which compound?

Hf4Bi2Sb

---

> What is the total DFT energy (no corrections) in the seventh record?

-82.7 eV for the cell shown

---

> Which value of total DFT energy (no corrections) does entry 1 give?

-41.2 eV for the cell shown